Entry 1:
Material: TlOsCl2
Method: DFT, GGA-PBEsol
State: optimized geometry

Lattice parameters (Å, degrees): 10.3708 3.5061 5.6777 90.00 119.30 90.00
Last column: nearest neighbours and their distance in Å.
Space group Cm (No. 8)
Asymmetric unit:
Tl1 0.0000 0.0000 0.0000 [2 per cell]  3 Os 2.78-2.97, 2 Cl 2.99-3.00
Os1 0.2701 0.0000 0.0062 [2 per cell]  4 Cl 2.35
Cl1 0.1679 0.5000 0.6915 [2 per cell]  2 Os 2.35
Cl2 0.3429 0.5000 0.3222 [2 per cell]  2 Os 2.35

Calculated values
- Offset from the most stable computed form: 0.0 kJ per mole of atoms
- N(E_F): 0.95 states/eV per atom
- Raw total energy: -36.75 eV per cell
- Total magnetization: 0.02 μB/cell
- V: 90 Å³/f.u.
- Energy relative to the elements, uncorrected: 122 meV per atom
- Crystal system: monoclinic

=====

Entry 2:
Material: TlOsCl2
Method: DFT, GGA-PBEsol
State: optimized geometry

Lattice parameters (Å, degrees): 3.2643 5.7894 8.8479 90.00 90.00 90.00
Last column: nearest neighbours and their distance in Å.
Space group Cmm2 (No. 35)
Asymmetric unit:
Tl1 0.0000 0.0000 0.0000 [2 per cell]  2 Cl 2.62, 2 Os 2.72
Os1 0.0000 0.5000 0.7541 [2 per cell]  2 Cl 2.30
Cl1 0.0000 0.0000 0.5709 [2 per cell]  2 Os 2.30
Cl2 0.0000 0.5000 0.2323 [2 per cell]  2 Tl 2.62

Calculated values
- Offset from the most stable computed form: 26.9 kJ per mole of atoms
- N(E_F): 0.62 states/eV per atom
- Raw total energy: -34.52 eV per cell
- Total magnetization: 0.00 μB/cell
- V: 84 Å³/f.u.
- Energy relative to the elements, uncorrected: 401 meV per atom
- Crystal system: orthorhombic